{"formula": "DyTmSiGeOs", "functional": "PBE", "state": "relaxed", "cell": [[5.332, -2.141, 0.000], [5.332, 2.141, 0.000], [-4.710, 0.000, 8.766]], "species": ["Dy", "Dy", "Ge", "Ge", "Os", "Os", "Si", "Si", "Tm", "Tm"], "fractional_positions": [[0.815, 0.815, 0.390], [0.185, 0.185, 0.610], [0.641, 0.641, 0.063], [0.359, 0.359, 0.937], [0.273, 0.273, 0.134], [0.727, 0.727, 0.866], [0.504, 0.504, 0.376], [0.496, 0.496, 0.624], [0.004, 0.004, 0.178], [0.996, 0.996, 0.822]], "e_above_lowest_polymorph_mev_per_atom": 114, "sg": "C2/m (12)", "rho_g_cm3": 10.33}